No. 1
Compound: La2FeBiN
Source: the Alexandria database
Functional: PBE-GGA
Structure: relaxed

Unit cell a=5.3726 b=5.3726 c=3.9449 alpha=90.00 beta=90.00 gamma=90.00
Last column: nearest neighbours and their distance in Å.
Space group P4/mmm (No. 123)
Inequivalent atoms, fractional coordinates:
La 0.0000 0.5000 0.0000 x2  2 N 2.69
Fe 0.0000 0.0000 0.5000 x1  2 N 1.97
Bi 0.5000 0.5000 0.5000 x1  8 La 3.33
N 0.0000 0.0000 0.0000 x1  2 Fe 1.97

## Properties
Spin magnetization   2.380 μB/f.u.
Formation energy (no corrections)   -3.6 eV per formula unit
Density of states at the Fermi level   2.972 states/eV/cell
Energy   -6.8275 eV per atom


No. 2
Compound: La6FeBi2N
Source: the Alexandria database
Functional: PBE-GGA
Structure: relaxed

Unit cell a=10.5264 b=10.5690 c=10.5465 alpha=90.00 beta=90.00 gamma=90.00
Last column: nearest neighbours and their distance in Å.
Space group Fmm2 (No. 42)
Inequivalent atoms, fractional coordinates:
La 0.0000 0.0000 0.0000 x4  1 N 2.40
La 0.0000 0.0000 0.4847 x4  1 Fe 2.28
La 0.0000 0.2382 0.7368 x8  1 N 2.55, 1 Fe 2.79
La 0.2391 0.0000 0.7362 x8  1 N 2.55, 1 Fe 2.77
Fe 0.0000 0.0000 0.2684 x4  1 La 2.28
Bi 0.2500 0.2500 0.4911 x8  12 La 3.69-3.77
N 0.0000 0.0000 0.7723 x4  5 La 2.40-2.55

## Properties
Spin magnetization   0.000 μB/f.u.
Formation energy (no corrections)   -6.1 eV per formula unit
Density of states at the Fermi level   36.732 states/eV/cell
Energy   -6.0219 eV per atom


Among the records above, which one has the lowest energy?
La2FeBiN